(1)
Er3Ge3Rh2 | PBE | optimized geometry

Cell: 8.096 14.129 5.610 Å, 90.00 90.00 90.00°
Space group Pnma (No. 62)
Inequivalent atoms, fractional coordinates:
Er 0.041 0.113 0.121 x8
Er 0.189 0.250 0.634 x4
Ge 0.169 0.750 0.615 x4
Ge 0.203 0.037 0.623 x8
Rh 0.076 0.599 0.382 x8

total magnetic moment: 0.00 μB/atom
crystal system: orthorhombic
formation enthalpy at 0 K: -0.92 eV/atom
offset from the most stable computed form: 48 meV/atom
V: 20.06 A^3/atom

(2)
Lu2HgBi | PBE | optimized geometry

Cell: 3.921 3.921 6.834 Å, 90.00 90.00 90.00°
Space group P4/mmm (No. 123)
Inequivalent atoms, fractional coordinates:
Lu 0.000 0.000 0.247 x2
Hg 0.500 0.500 0.000 x1
Bi 0.500 0.500 0.500 x1

total magnetic moment: 0.14 μB/atom
crystal system: tetragonal
formation enthalpy at 0 K: -0.45 eV/atom
offset from the most stable computed form: 0 meV/atom
V: 26.27 A^3/atom

(3)
KNb4Cu3O12 | PBE | optimized geometry

Cell: 7.731 7.731 7.731 Å, 90.00 90.00 90.00°
Space group Im-3 (No. 204)
Inequivalent atoms, fractional coordinates:
K 0.000 0.000 0.000 x2
Nb 0.250 0.250 0.250 x8
Cu 0.000 0.000 0.500 x6
O 0.000 0.304 0.185 x24

uncorrected formation energy: -44.954 kcal/mol of atoms
total magnetic moment: 0.00 μB/atom
crystal system: cubic
V: 11.55 A^3/atom

(4)
Zr2BPb | PBE | optimized geometry

Cell: 7.148 7.148 6.427 Å, 90.00 90.00 90.00°
Space group I-42d (No. 122)
Inequivalent atoms, fractional coordinates:
Zr 0.184 0.250 0.125 x8
B 0.000 0.000 0.000 x4
Pb 0.000 0.000 0.500 x4

total magnetic moment: 0.00 μB/atom
crystal system: tetragonal
formation enthalpy at 0 K: 0.05 eV/atom
offset from the most stable computed form: 539 meV/atom
V: 20.52 A^3/atom

(5)
CaTmNpO6 | PBE | optimized geometry

Cell: 5.7301 5.7301 9.5898 Å, 90.00 90.00 120.00°
Space group P-31c (No. 163)
Inequivalent atoms, fractional coordinates:
Ca 0.0000 0.0000 0.0000 x2
Tm 0.3333 0.6667 0.2500 x2
Np 0.3333 0.6667 0.7500 x2
O 0.0261 0.3719 0.6386 x12

uncorrected formation energy: -69.242 kcal/mol of atoms
total magnetic moment: 0.00 μB/atom
crystal system: trigonal
V: 15.15 A^3/atom

(6)
Ba7Na4Ir | PBE | optimized geometry

Cell: 17.669 6.321 12.934 Å, 90.00 114.62 90.00°
Space group C2/m (No. 12)
Inequivalent atoms, fractional coordinates:
Ba 0.000 0.000 0.000 x2
Ba 0.062 0.500 0.257 x4
Ba 0.155 0.000 0.518 x4
Ba 0.175 0.500 0.022 x4
Na 0.088 0.000 0.767 x4
Na 0.246 0.500 0.736 x4
Ir 0.000 0.500 0.000 x2

total magnetic moment: 0.00 μB/atom
crystal system: monoclinic
formation enthalpy at 0 K: 0.00 eV/atom
V: 54.72 A^3/atom

(7)
CsLi3Sn | PBE | optimized geometry

Cell: 5.455 5.455 5.455 Å, 90.00 90.00 90.00°
Space group Pm-3m (No. 221)
Inequivalent atoms, fractional coordinates:
Cs 0.000 0.000 0.000 x1
Li 0.000 0.500 0.500 x3
Sn 0.500 0.500 0.500 x1

total magnetic moment: 0.00 μB/atom
crystal system: cubic
formation enthalpy at 0 K: -0.22 eV/atom
offset from the most stable computed form: 0 meV/atom
V: 32.47 A^3/atom

(8)
TeAs2Rh | PBE | optimized geometry

Cell: 5.715 7.631 3.592 Å, 90.00 90.00 90.00°
Space group Cmmm (No. 65)
Inequivalent atoms, fractional coordinates:
Te 0.000 0.000 0.000 x2
As 0.250 0.250 0.500 x4
Rh 0.000 0.500 0.000 x2

uncorrected formation energy: 7.544 kcal/mol of atoms
total magnetic moment: 0.00 μB/atom
crystal system: orthorhombic
V: 19.58 A^3/atom

Number 1 is which compound?
Er3Ge3Rh2